# 1
DFT (PBE) results for a relaxed structure of InCuMoAu.

As for the total DFT energy (no corrections): -19.1 eV/cell. Its total magnetization is 2.2 μB per formula unit. The energy above the most stable polymorph in this dataset comes out at 0.0000 eV per atom. The calculation puts the density at 11.39 Mg/m³. Its space-group type is No. 216.

a b c (Å): 4.597 4.597 4.597
angles (deg): 60.00 60.00 60.00
Fractional positions:
1 Au 0.250 0.250 0.250
2 Cu 0.750 0.750 0.750
3 In 0.000 0.000 0.000
4 Mo 0.500 0.500 0.500

# 2
DFT (PBE) results for a relaxed structure of NbInCuAu.

As for the total DFT energy (no corrections): -19.1 eV/cell. Its total magnetization is 0.3 μB per formula unit. The energy above the most stable polymorph in this dataset comes out at 0.0478 eV per atom. The calculation puts the density at 11.00 Mg/m³. Its space-group type is No. 216.

a b c (Å): 4.641 4.641 4.641
angles (deg): 60.00 60.00 60.00
Fractional positions:
1 Au 0.500 0.500 0.500
2 Cu 0.750 0.750 0.750
3 In 0.000 0.000 0.000
4 Nb 0.250 0.250 0.250

# 3
DFT (PBE) results for a relaxed structure of NbInCuAu.

As for the total DFT energy (no corrections): -19.3 eV/cell. Its total magnetization is 0.3 μB per formula unit. The energy above the most stable polymorph in this dataset comes out at 0.0000 eV per atom. The calculation puts the density at 11.07 Mg/m³. Its space-group type is No. 216.

a b c (Å): 4.632 4.632 4.632
angles (deg): 60.00 60.00 60.00
Fractional positions:
1 Au 0.250 0.250 0.250
2 Cu 0.750 0.750 0.750
3 In 0.000 0.000 0.000
4 Nb 0.500 0.500 0.500